This record from the Alexandria database describes an optimized crystal structure of Pm8Sm3Tl. The functional is GGA-PBE.

Output
D(E_F) ... 18.27 states/eV/cell
Symmetry ... No. 121

Cell lengths 8.4586, 8.4586, 8.4586 Å; angles 93.92, 117.76, 117.76 degrees
With the nearest neighbours (Å) after each atom.
Fractional coordinates of all 12 atoms:
1 Pm 0.7460 0.1266 0.1266  3 Pm 3.14-3.38, 3 Sm 3.25-3.45, 1 Tl 3.32
2 Pm 0.0000 0.6193 0.8734  3 Pm 3.14-3.38, 3 Sm 3.25-3.45, 1 Tl 3.32
3 Pm 0.2540 0.3807 0.3807  3 Pm 3.14-3.38, 3 Sm 3.25-3.45, 1 Tl 3.32
4 Pm 0.0000 0.2365 0.7282  1 Sm 3.05, 2 Pm 3.15-3.38, 1 Tl 3.15
5 Pm 0.0000 0.7282 0.2365  1 Sm 3.05, 2 Pm 3.15-3.38, 1 Tl 3.15
6 Pm 0.0000 0.8734 0.6193  3 Pm 3.14-3.38, 3 Sm 3.25-3.45, 1 Tl 3.32
7 Pm 0.5083 0.2718 0.2718  1 Sm 3.05, 2 Pm 3.15-3.38, 1 Tl 3.15
8 Pm 0.4917 0.7635 0.7635  1 Sm 3.05, 2 Pm 3.15-3.38, 1 Tl 3.15
9 Tl 0.0000 0.0000 0.0000  8 Pm 3.15-3.32
10 Sm 0.0000 0.5000 0.5000  8 Pm 3.05-3.25
11 Sm 0.5000 0.7500 0.2500  4 Pm 3.45
12 Sm 0.5000 0.2500 0.7500  4 Pm 3.45

***

This record from the Alexandria database describes an optimized crystal structure of Pm2Sm2Tl3. The functional is GGA-PBE.

Output
D(E_F) ... 6.74 states/eV/cell
Symmetry ... No. 2
Distance to the lowest polymorph of the same formula ... 0.0 meV/atom

Cell lengths 3.8833, 8.7584, 6.4897 Å; angles 94.32, 72.57, 90.05 degrees
With the nearest neighbours (Å) after each atom.
Fractional coordinates of all 7 atoms:
1 Pm 0.7032 0.8422 0.5934  4 Tl 3.31-3.39, 3 Sm 3.58-3.60, 2 Pm 3.64
2 Pm 0.2968 0.1578 0.4066  4 Tl 3.31-3.39, 3 Sm 3.58-3.60, 2 Pm 3.64
3 Sm 0.4351 0.7103 0.1301  6 Tl 3.24-3.51, 3 Pm 3.58-3.60
4 Sm 0.5649 0.2897 0.8699  6 Tl 3.24-3.51, 3 Pm 3.58-3.60
5 Tl 0.0000 0.0000 0.0000  4 Sm 3.34, 4 Pm 3.39
6 Tl 0.8489 0.4495 0.3028  2 Tl 3.19, 4 Sm 3.24-3.51, 2 Pm 3.31
7 Tl 0.1511 0.5505 0.6972  2 Tl 3.19, 4 Sm 3.24-3.51, 2 Pm 3.31

***

This record from the Alexandria database describes an optimized crystal structure of Pm6Sm3Tl. The functional is GGA-PBE.

Output
D(E_F) ... 27.49 states/eV/cell
Symmetry ... No. 11
Distance to the lowest polymorph of the same formula ... 0.0 meV/atom

Cell lengths 3.6401, 12.4478, 14.9514 Å; angles 94.03, 90.00, 90.00 degrees
With the nearest neighbours (Å) after each atom.
Fractional coordinates of all 20 atoms:
1 Pm 0.7500 0.4374 0.1078  3 Tl 3.27-3.37, 2 Pm 3.64, 2 Sm 3.65
2 Pm 0.7500 0.1896 0.3910  6 Pm 3.58-3.67, 5 Sm 3.63-3.70
3 Pm 0.2500 0.3799 0.5450  4 Sm 3.48-3.55, 8 Pm 3.64-3.82
4 Pm 0.7500 0.3044 0.7521  2 Tl 3.37, 3 Sm 3.58-3.75, 4 Pm 3.64-3.77
5 Pm 0.2500 0.6956 0.2479  2 Tl 3.37, 3 Sm 3.58-3.75, 4 Pm 3.64-3.77
6 Pm 0.7500 0.7940 0.8138  1 Sm 3.27, 6 Pm 3.42-3.64
7 Pm 0.7500 0.1132 0.0031  2 Tl 3.25, 4 Pm 3.35-3.42, 2 Sm 3.53
8 Pm 0.2500 0.8104 0.6090  6 Pm 3.58-3.67, 5 Sm 3.63-3.70
9 Pm 0.2500 0.8868 0.9969  2 Tl 3.25, 4 Pm 3.35-3.42, 2 Sm 3.53
10 Pm 0.2500 0.5626 0.8922  3 Tl 3.27-3.37, 2 Pm 3.64, 2 Sm 3.65
11 Pm 0.2500 0.2060 0.1862  1 Sm 3.27, 6 Pm 3.42-3.64
12 Pm 0.7500 0.6201 0.4550  4 Sm 3.48-3.55, 8 Pm 3.64-3.82
13 Sm 0.2500 0.4268 0.3183  7 Pm 3.27-3.65, 2 Sm 3.64
14 Sm 0.2500 0.0528 0.8035  3 Sm 3.40-3.64, 7 Pm 3.53-3.75, 1 Tl 3.70
15 Sm 0.2500 0.1016 0.5829  3 Sm 3.40-3.64, 4 Pm 3.55-3.67
16 Sm 0.7500 0.8984 0.4171  3 Sm 3.40-3.64, 4 Pm 3.55-3.67
17 Sm 0.7500 0.5732 0.6817  7 Pm 3.27-3.65, 2 Sm 3.64
18 Sm 0.7500 0.9472 0.1965  3 Sm 3.40-3.64, 7 Pm 3.53-3.75, 1 Tl 3.70
19 Tl 0.7500 0.6886 0.0581  7 Pm 3.25-3.37
20 Tl 0.2500 0.3114 0.9419  7 Pm 3.25-3.37

***

This record from the Alexandria database describes an optimized crystal structure of PmSm4Tl. The functional is GGA-PBE.

Output
D(E_F) ... 8.19 states/eV/cell
Symmetry ... No. 123

Cell lengths 3.6633, 3.6633, 14.5317 Å; angles 90.00, 90.00, 90.00 degrees
With the nearest neighbours (Å) after each atom.
Fractional coordinates of all 6 atoms:
1 Sm 0.0000 0.0000 0.3530  4 Tl 3.36, 8 Sm 3.64-3.66
2 Sm 0.5000 0.5000 0.1773  8 Sm 3.64-3.66, 4 Pm 3.65
3 Sm 0.0000 0.0000 0.6470  4 Tl 3.36, 8 Sm 3.64-3.66
4 Sm 0.5000 0.5000 0.8227  8 Sm 3.64-3.66, 4 Pm 3.65
5 Tl 0.5000 0.5000 0.5000  8 Sm 3.36, 4 Tl 3.66
6 Pm 0.0000 0.0000 0.0000  8 Sm 3.65, 4 Pm 3.66

***

This record from the Alexandria database describes an optimized crystal structure of Pm3Sm5Tl2. The functional is GGA-PBE.

Output
D(E_F) ... 27.12 states/eV/cell
Symmetry ... No. 72

Cell lengths 6.6271, 10.6719, 10.6719 Å; angles 92.78, 71.91, 71.91 degrees
With the nearest neighbours (Å) after each atom.
Fractional coordinates of all 20 atoms:
1 Tl 0.8694 0.2757 0.9856  3 Sm 2.97-3.21, 2 Pm 3.27
2 Tl 0.6306 0.0144 0.7243  3 Sm 2.97-3.21, 2 Pm 3.27
3 Tl 0.3694 0.9856 0.2757  3 Sm 2.97-3.21, 2 Pm 3.27
4 Tl 0.1306 0.7243 0.0144  3 Sm 2.97-3.21, 2 Pm 3.27
5 Sm 0.8792 0.4581 0.7835  1 Tl 2.97
6 Sm 0.6208 0.2165 0.5419  1 Tl 2.97
7 Sm 0.2500 0.5000 0.5000  8 Sm 3.26-3.40
8 Sm 0.1208 0.5419 0.2165  1 Tl 2.97
9 Sm 0.3792 0.7835 0.4581  1 Tl 2.97
10 Sm 0.4980 0.2520 0.2520  2 Tl 3.21, 5 Sm 3.26-3.44, 1 Pm 3.31
11 Sm 0.9980 0.2520 0.2520  2 Tl 3.21, 5 Sm 3.26-3.44, 1 Pm 3.31
12 Sm 0.7500 0.5000 0.5000  8 Sm 3.26-3.40
13 Sm 0.0020 0.7480 0.7480  2 Tl 3.21, 5 Sm 3.26-3.44, 1 Pm 3.31
14 Sm 0.5020 0.7480 0.7480  2 Tl 3.21, 5 Sm 3.26-3.44, 1 Pm 3.31
15 Pm 0.8818 0.8787 0.3577  4 Sm 3.49-3.64, 4 Tl 3.58-3.75
16 Pm 0.2500 0.0000 0.0000  4 Tl 3.27, 2 Sm 3.31, 2 Pm 3.31
17 Pm 0.3818 0.3577 0.8787  4 Sm 3.49-3.64, 4 Tl 3.58-3.75
18 Pm 0.7500 0.0000 0.0000  4 Tl 3.27, 2 Sm 3.31, 2 Pm 3.31
19 Pm 0.6182 0.6423 0.1213  4 Sm 3.49-3.64, 4 Tl 3.58-3.75
20 Pm 0.1182 0.1213 0.6423  4 Sm 3.49-3.64, 4 Tl 3.58-3.75

***

This record from the Alexandria database describes an optimized crystal structure of PmSm8Tl2. The functional is GGA-PBE.

Output
D(E_F) ... 14.67 states/eV/cell
Symmetry ... No. 12
Distance to the lowest polymorph of the same formula ... 0.0 meV/atom

Cell lengths 5.2241, 8.3753, 9.0943 Å; angles 110.87, 106.69, 90.00 degrees
With the nearest neighbours (Å) after each atom.
Fractional coordinates of all 11 atoms:
1 Sm 0.6859 0.9477 0.3718  1 Tl 3.21, 4 Sm 3.33-3.51, 1 Pm 3.43
2 Sm 0.9478 0.2627 0.8955  1 Tl 3.34, 7 Sm 3.51-3.71, 2 Pm 3.74
3 Sm 0.3141 0.0523 0.6282  1 Tl 3.21, 4 Sm 3.33-3.51, 1 Pm 3.43
4 Sm 0.3997 0.5353 0.7994  3 Tl 3.34-3.52, 1 Pm 3.63, 4 Sm 3.66-3.67
5 Sm 0.0522 0.7373 0.1045  1 Tl 3.34, 7 Sm 3.51-3.71, 2 Pm 3.74
6 Sm 0.6003 0.4647 0.2006  3 Tl 3.34-3.52, 1 Pm 3.63, 4 Sm 3.66-3.67
7 Sm 0.8530 0.7934 0.7060  3 Tl 3.38-3.39, 7 Sm 3.60-3.67, 2 Pm 3.62
8 Sm 0.1470 0.2066 0.2940  3 Tl 3.38-3.39, 7 Sm 3.60-3.67, 2 Pm 3.62
9 Tl 0.2222 0.6413 0.4443  8 Sm 3.21-3.52
10 Tl 0.7778 0.3587 0.5557  8 Sm 3.21-3.52
11 Pm 0.5000 0.0000 0.0000  12 Sm 3.43-3.74

***

Number 1: raw total energy -4.0922 eV per atom. Number 2: raw total energy -3.9833 eV per atom. Number 3: raw total energy -4.4929 eV per atom. Number 4: raw total energy -4.4356 eV per atom. Number 5: raw total energy -4.1658 eV per atom. Number 6: raw total energy -4.3967 eV per atom.